No. 1
! Tl2PdAu2 | the Alexandria database | GGA-PBE | optimized geometry; values from VASP
&SYSTEM
  ibrav = 0, nat = 10, ntyp = 3
/
ATOMIC_SPECIES
Tl 204.38 Tl.upf
Pd 106.42 Pd.upf
Au 196.97 Au.upf
CELL_PARAMETERS angstrom
7.668 0.000 0.000
0.000 7.668 0.000
0.000 0.000 3.821
ATOMIC_POSITIONS crystal
Tl 0.172 0.328 0.000
Tl 0.328 0.828 0.000
Tl 0.672 0.172 0.000
Tl 0.828 0.672 0.000
Pd 0.000 0.000 0.000
Pd 0.500 0.500 0.000
Au 0.131 0.631 0.500
Au 0.369 0.131 0.500
Au 0.631 0.869 0.500
Au 0.869 0.369 0.500
! E above lowest polymorph ... 0.96 eV per formula unit

---

No. 2
Tl5Pd2Au2: optimized geometry, GGA-PBE. Values from VASP.

```
&SYSTEM
  ibrav = 0, nat = 18, ntyp = 3
/
ATOMIC_SPECIES
Tl 204.38 Tl.upf
Pd 106.42 Pd.upf
Au 196.97 Au.upf
CELL_PARAMETERS angstrom
-8.368 3.443 3.800
8.368 -3.443 3.800
8.368 3.443 -3.800
ATOMIC_POSITIONS crystal
Tl 0.135 0.047 0.588
Tl 0.137 0.077 0.215
Tl 0.137 0.423 0.560
Tl 0.459 0.547 0.412
Tl 0.506 0.013 0.178
Tl 0.506 0.828 0.993
Tl 0.835 0.328 0.822
Tl 0.835 0.513 0.007
Tl 0.863 0.577 0.440
Tl 0.863 0.923 0.785
Pd 0.685 0.185 0.500
Pd 0.685 0.685 0.000
Pd 0.944 0.219 0.225
Pd 0.994 0.719 0.775
Au 0.328 0.437 0.057
Au 0.328 0.771 0.391
Au 0.380 0.271 0.943
Au 0.380 0.937 0.609
```

---

No. 3
! Tl2Pd7Au3 | the Alexandria database | GGA-PBE | optimized geometry; values from VASP
&SYSTEM
  ibrav = 0, nat = 12, ntyp = 3
/
ATOMIC_SPECIES
Tl 204.38 Tl.upf
Pd 106.42 Pd.upf
Au 196.97 Au.upf
CELL_PARAMETERS angstrom
3.875 0.000 0.000
0.000 4.018 0.000
-1.876 0.000 14.488
ATOMIC_POSITIONS crystal
Tl 0.138 0.000 0.280
Tl 0.862 0.000 0.720
Pd 0.069 0.500 0.142
Pd 0.286 0.000 0.573
Pd 0.431 0.000 0.857
Pd 0.500 0.500 0.000
Pd 0.569 0.000 0.143
Pd 0.714 0.000 0.427
Pd 0.931 0.500 0.858
Au 0.000 0.000 0.000
Au 0.213 0.500 0.426
Au 0.787 0.500 0.574
! E above lowest polymorph ... 0.00 eV per formula unit

---

No. 4
! TlPd5Au | the Alexandria database | GGA-PBE | optimized geometry; values from VASP
&SYSTEM
  ibrav = 0, nat = 7, ntyp = 3
/
ATOMIC_SPECIES
Tl 204.38 Tl.upf
Pd 106.42 Pd.upf
Au 196.97 Au.upf
CELL_PARAMETERS angstrom
3.928 0.000 0.000
0.000 3.928 0.000
0.000 0.000 8.184
ATOMIC_POSITIONS crystal
Tl 0.000 0.000 0.000
Pd 0.000 0.000 0.500
Pd 0.000 0.500 0.246
Pd 0.000 0.500 0.754
Pd 0.500 0.000 0.246
Pd 0.500 0.000 0.754
Au 0.500 0.500 0.500
! E above lowest polymorph ... 0.00 eV per formula unit

---

No. 5
TlV2PdAu: optimized geometry, GGA-PBE. Values from VASP.

```
&SYSTEM
  ibrav = 0, nat = 5, ntyp = 4
/
ATOMIC_SPECIES
Tl 204.38 Tl.upf
V 50.94 V.upf
Pd 106.42 Pd.upf
Au 196.97 Au.upf
CELL_PARAMETERS angstrom
5.128 0.000 0.000
0.000 5.128 0.000
0.000 0.000 5.080
ATOMIC_POSITIONS crystal
Tl 0.000 0.000 0.000
V 0.000 0.500 0.000
V 0.500 0.000 0.000
Pd 0.500 0.500 0.500
Au 0.000 0.000 0.500
```

---

No. 6
YTlPdAu: optimized geometry, GGA-PBE. Values from VASP.

```
&SYSTEM
  ibrav = 0, nat = 4, ntyp = 4
/
ATOMIC_SPECIES
Y 88.91 Y.upf
Tl 204.38 Tl.upf
Pd 106.42 Pd.upf
Au 196.97 Au.upf
CELL_PARAMETERS angstrom
0.000 3.487 3.487
3.487 0.000 3.487
3.487 3.487 0.000
ATOMIC_POSITIONS crystal
Y 0.000 0.000 0.000
Tl 0.500 0.500 0.500
Pd 0.750 0.750 0.750
Au 0.250 0.250 0.250
```

---

No. 7
Tm4Pd2Au3: optimized geometry, GGA-PBE. Values from VASP.

```
&SYSTEM
  ibrav = 0, nat = 9, ntyp = 3
/
ATOMIC_SPECIES
Tm 168.93 Tm.upf
Pd 106.42 Pd.upf
Au 196.97 Au.upf
CELL_PARAMETERS angstrom
4.843 0.000 0.000
-2.421 4.194 0.000
0.000 0.000 9.334
ATOMIC_POSITIONS crystal
Tm 0.000 0.000 0.166
Tm 0.000 0.000 0.834
Tm 0.333 0.667 0.616
Tm 0.667 0.333 0.384
Pd 0.333 0.667 0.307
Pd 0.667 0.333 0.693
Au 0.000 0.000 0.500
Au 0.333 0.667 0.984
Au 0.667 0.333 0.016
```

---

No. 8
TmPd12Au7: optimized geometry, GGA-PBE. Values from VASP.

```
&SYSTEM
  ibrav = 0, nat = 20, ntyp = 3
/
ATOMIC_SPECIES
Tm 168.93 Tm.upf
Pd 106.42 Pd.upf
Au 196.97 Au.upf
CELL_PARAMETERS angstrom
6.011 3.471 2.757
-6.011 3.471 2.757
0.000 -6.941 2.757
ATOMIC_POSITIONS crystal
Tm 0.000 0.000 0.000
Pd 0.138 0.271 0.840
Pd 0.160 0.862 0.729
Pd 0.173 0.478 0.596
Pd 0.271 0.840 0.138
Pd 0.404 0.827 0.522
Pd 0.478 0.596 0.174
Pd 0.522 0.404 0.827
Pd 0.596 0.174 0.478
Pd 0.729 0.160 0.862
Pd 0.826 0.522 0.404
Pd 0.840 0.138 0.271
Pd 0.862 0.729 0.160
Au 0.084 0.471 0.196
Au 0.196 0.084 0.471
Au 0.471 0.196 0.084
Au 0.500 0.500 0.500
Au 0.529 0.804 0.916
Au 0.804 0.916 0.529
Au 0.916 0.529 0.804
```

---

No. 9
! TmPd3Au6 | the Alexandria database | GGA-PBE | optimized geometry; values from VASP
&SYSTEM
  ibrav = 0, nat = 20, ntyp = 3
/
ATOMIC_SPECIES
Tm 168.93 Tm.upf
Pd 106.42 Pd.upf
Au 196.97 Au.upf
CELL_PARAMETERS angstrom
3.923 -8.774 0.000
3.923 8.774 0.000
0.000 0.000 5.345
ATOMIC_POSITIONS crystal
Tm 0.154 0.846 0.500
Tm 0.846 0.154 0.000
Pd 0.058 0.298 0.497
Pd 0.298 0.058 0.997
Pd 0.397 0.603 0.700
Pd 0.603 0.397 0.200
Pd 0.702 0.942 0.497
Pd 0.942 0.702 0.997
Au 0.005 0.995 0.274
Au 0.078 0.542 0.820
Au 0.281 0.353 0.075
Au 0.325 0.675 0.242
Au 0.353 0.281 0.575
Au 0.458 0.922 0.820
Au 0.542 0.078 0.320
Au 0.647 0.719 0.075
Au 0.675 0.325 0.742
Au 0.719 0.647 0.575
Au 0.922 0.458 0.320
Au 0.995 0.005 0.774
! E above lowest polymorph ... 0.77 eV per formula unit

---

No. 10
! Tm3PdAu | the Alexandria database | GGA-PBE | optimized geometry; values from VASP
&SYSTEM
  ibrav = 0, nat = 10, ntyp = 3
/
ATOMIC_SPECIES
Tm 168.93 Tm.upf
Pd 106.42 Pd.upf
Au 196.97 Au.upf
CELL_PARAMETERS angstrom
2.478 -9.636 0.000
2.478 9.636 0.000
0.000 0.000 4.963
ATOMIC_POSITIONS crystal
Tm 0.069 0.931 0.750
Tm 0.250 0.750 0.750
Tm 0.430 0.570 0.750
Tm 0.570 0.430 0.250
Tm 0.750 0.250 0.250
Tm 0.931 0.069 0.250
Pd 0.159 0.841 0.250
Pd 0.841 0.159 0.750
Au 0.342 0.658 0.250
Au 0.658 0.342 0.750
! E above lowest polymorph ... 0.00 eV per formula unit

---

No. 11
! TmPd3Au6 | the Alexandria database | GGA-PBE | optimized geometry; values from VASP
&SYSTEM
  ibrav = 0, nat = 20, ntyp = 3
/
ATOMIC_SPECIES
Tm 168.93 Tm.upf
Pd 106.42 Pd.upf
Au 196.97 Au.upf
CELL_PARAMETERS angstrom
7.705 0.000 0.000
0.000 4.845 0.000
-3.133 0.000 9.537
ATOMIC_POSITIONS crystal
Tm 0.200 0.250 0.133
Tm 0.800 0.750 0.867
Pd 0.006 0.250 0.334
Pd 0.203 0.750 0.465
Pd 0.399 0.250 0.933
Pd 0.601 0.750 0.067
Pd 0.797 0.250 0.535
Pd 0.994 0.750 0.666
Au 0.003 0.250 0.826
Au 0.191 0.250 0.626
Au 0.206 0.750 0.962
Au 0.392 0.750 0.762
Au 0.398 0.250 0.436
Au 0.405 0.750 0.268
Au 0.595 0.250 0.732
Au 0.602 0.750 0.564
Au 0.608 0.250 0.238
Au 0.794 0.250 0.038
Au 0.809 0.750 0.374
Au 0.997 0.750 0.174
! E above lowest polymorph ... 0.00 eV per formula unit

---

No. 12
TmPd5Au5: optimized geometry, GGA-PBE. Values from VASP.

```
&SYSTEM
  ibrav = 0, nat = 11, ntyp = 3
/
ATOMIC_SPECIES
Tm 168.93 Tm.upf
Pd 106.42 Pd.upf
Au 196.97 Au.upf
CELL_PARAMETERS angstrom
5.696 0.000 0.000
0.065 5.872 0.000
1.203 1.451 6.006
ATOMIC_POSITIONS crystal
Tm 0.000 0.000 0.000
Pd 0.163 0.167 0.336
Pd 0.164 0.663 0.334
Pd 0.500 0.000 0.000
Pd 0.836 0.337 0.666
Pd 0.837 0.833 0.664
Au 0.000 0.500 0.000
Au 0.340 0.340 0.680
Au 0.343 0.828 0.668
Au 0.657 0.172 0.332
Au 0.660 0.660 0.320
```

---

No. 13
! TmPd4Au2 | the Alexandria database | GGA-PBE | optimized geometry; values from VASP
&SYSTEM
  ibrav = 0, nat = 14, ntyp = 3
/
ATOMIC_SPECIES
Tm 168.93 Tm.upf
Pd 106.42 Pd.upf
Au 196.97 Au.upf
CELL_PARAMETERS angstrom
6.310 0.000 0.000
-0.301 6.790 0.000
-2.866 -3.426 5.874
ATOMIC_POSITIONS crystal
Tm 0.000 0.000 0.000
Tm 0.272 0.857 0.450
Pd 0.059 0.436 0.376
Pd 0.223 0.416 0.071
Pd 0.463 0.259 0.377
Pd 0.540 0.705 0.725
Pd 0.575 0.171 0.024
Pd 0.737 0.141 0.708
Pd 0.868 0.052 0.364
Pd 0.945 0.522 0.724
Au 0.324 0.327 0.716
Au 0.404 0.802 0.068
Au 0.714 0.682 0.425
Au 0.812 0.582 0.059
! E above lowest polymorph ... 0.00 eV per formula unit

---

No. 14
! TmPd6Au5 | the Alexandria database | GGA-PBE | optimized geometry; values from VASP
&SYSTEM
  ibrav = 0, nat = 12, ntyp = 3
/
ATOMIC_SPECIES
Tm 168.93 Tm.upf
Pd 106.42 Pd.upf
Au 196.97 Au.upf
CELL_PARAMETERS angstrom
2.104 -6.223 0.000
2.104 6.223 0.000
-0.028 0.000 7.816
ATOMIC_POSITIONS crystal
Tm 0.000 0.000 0.000
Pd 0.167 0.833 0.251
Pd 0.167 0.833 0.749
Pd 0.499 0.499 0.751
Pd 0.501 0.501 0.249
Pd 0.833 0.167 0.251
Pd 0.833 0.167 0.749
Au 0.000 0.000 0.500
Au 0.332 0.668 0.000
Au 0.336 0.664 0.500
Au 0.664 0.336 0.500
Au 0.668 0.332 0.000
! E above lowest polymorph ... 0.00 eV per formula unit

---

No. 15
TmPdAu6: optimized geometry, GGA-PBE. Values from VASP.

```
&SYSTEM
  ibrav = 0, nat = 8, ntyp = 3
/
ATOMIC_SPECIES
Tm 168.93 Tm.upf
Pd 106.42 Pd.upf
Au 196.97 Au.upf
CELL_PARAMETERS angstrom
4.629 -2.132 0.000
4.629 2.132 0.000
-3.830 0.000 7.487
ATOMIC_POSITIONS crystal
Tm 0.000 0.000 0.000
Pd 0.000 0.000 0.500
Au 0.247 0.247 0.381
Au 0.249 0.249 0.866
Au 0.494 0.494 0.252
Au 0.506 0.506 0.748
Au 0.751 0.751 0.134
Au 0.753 0.753 0.619
```

---

No. 16
! TmPd2Au4 | the Alexandria database | GGA-PBE | optimized geometry; values from VASP
&SYSTEM
  ibrav = 0, nat = 14, ntyp = 3
/
ATOMIC_SPECIES
Tm 168.93 Tm.upf
Pd 106.42 Pd.upf
Au 196.97 Au.upf
CELL_PARAMETERS angstrom
-4.040 4.040 4.227
4.040 -4.040 4.227
4.040 4.040 -4.227
ATOMIC_POSITIONS crystal
Tm 0.000 0.000 0.000
Tm 0.750 0.250 0.500
Pd 0.209 0.125 0.584
Pd 0.375 0.791 0.916
Pd 0.541 0.625 0.416
Pd 0.875 0.459 0.084
Au 0.153 0.417 0.429
Au 0.167 0.403 0.929
Au 0.276 0.847 0.264
Au 0.474 0.238 0.071
Au 0.583 0.012 0.736
Au 0.597 0.526 0.764
Au 0.762 0.833 0.236
Au 0.988 0.724 0.571
! E above lowest polymorph ... 1.00 eV per formula unit

---

No. 17
TmPd5Au4: optimized geometry, GGA-PBE. Values from VASP.

```
&SYSTEM
  ibrav = 0, nat = 20, ntyp = 3
/
ATOMIC_SPECIES
Tm 168.93 Tm.upf
Pd 106.42 Pd.upf
Au 196.97 Au.upf
CELL_PARAMETERS angstrom
8.292 0.000 0.000
0.000 9.394 0.000
0.000 0.000 4.813
ATOMIC_POSITIONS crystal
Tm 0.250 0.250 0.120
Tm 0.750 0.750 0.880
Pd 0.082 0.507 0.244
Pd 0.082 0.993 0.244
Pd 0.250 0.750 0.076
Pd 0.418 0.507 0.244
Pd 0.418 0.993 0.244
Pd 0.582 0.007 0.756
Pd 0.582 0.493 0.756
Pd 0.750 0.250 0.924
Pd 0.918 0.007 0.756
Pd 0.918 0.493 0.756
Au 0.056 0.750 0.578
Au 0.250 0.006 0.740
Au 0.250 0.494 0.740
Au 0.444 0.750 0.578
Au 0.556 0.250 0.422
Au 0.750 0.506 0.260
Au 0.750 0.994 0.260
Au 0.944 0.250 0.422
```

---

No. 18
Tm2Pd5Au2: optimized geometry, GGA-PBE. Values from VASP.

```
&SYSTEM
  ibrav = 0, nat = 18, ntyp = 3
/
ATOMIC_SPECIES
Tm 168.93 Tm.upf
Pd 106.42 Pd.upf
Au 196.97 Au.upf
CELL_PARAMETERS angstrom
7.573 -4.718 0.000
7.573 4.718 0.000
-1.583 0.000 4.644
ATOMIC_POSITIONS crystal
Tm 0.127 0.127 0.089
Tm 0.373 0.373 0.334
Tm 0.627 0.627 0.666
Tm 0.873 0.873 0.911
Pd 0.000 0.500 0.000
Pd 0.099 0.599 0.599
Pd 0.205 0.705 0.205
Pd 0.295 0.795 0.795
Pd 0.401 0.901 0.401
Pd 0.500 0.000 0.000
Pd 0.599 0.099 0.599
Pd 0.705 0.205 0.205
Pd 0.795 0.295 0.795
Pd 0.901 0.401 0.401
Au 0.000 0.000 0.500
Au 0.250 0.250 0.703
Au 0.500 0.500 0.000
Au 0.750 0.750 0.297
```

---

No. 19
TmPd8Au6: optimized geometry, GGA-PBE. Values from VASP.

```
&SYSTEM
  ibrav = 0, nat = 15, ntyp = 3
/
ATOMIC_SPECIES
Tm 168.93 Tm.upf
Pd 106.42 Pd.upf
Au 196.97 Au.upf
CELL_PARAMETERS angstrom
7.681 0.000 0.000
-3.840 6.652 0.000
0.000 0.000 5.231
ATOMIC_POSITIONS crystal
Tm 0.000 0.000 0.000
Pd 0.049 0.759 0.671
Pd 0.241 0.289 0.671
Pd 0.289 0.049 0.329
Pd 0.333 0.667 0.727
Pd 0.667 0.333 0.273
Pd 0.711 0.951 0.671
Pd 0.759 0.711 0.329
Pd 0.951 0.241 0.329
Au 0.102 0.652 0.180
Au 0.348 0.450 0.180
Au 0.450 0.102 0.820
Au 0.550 0.898 0.180
Au 0.652 0.550 0.820
Au 0.898 0.348 0.820
```

---

ΔH_f (0 K), record by record: 0.78, -0.30, -0.55, -0.32, 8.21, -2.33, -7.41, -3.18, -2.81, -3.52, -3.58, -2.99, -3.18, -4.54, -3.10, -2.09, -2.77, -5.58, -1.96 eV per formula unit